[1]
Density functional theory data (PBEsol) for Sb3AuF after structural relaxation.

Values from the calculation:
- Formation energy from raw total energies: 112 meV per atom
- Size of the total moment: 0.00 Bohr magnetons per cell
- DOS(E_F): 3.58 states/eV/cell

Lattice parameters (Å, degrees): 4.8184 4.8184 4.8184 90.00 90.00 90.00
Space group Pm-3m (No. 221)
Symmetry-distinct sites (fractional):
Sb 0.0000 0.0000 0.5000
Au 0.5000 0.5000 0.5000
F 0.0000 0.0000 0.0000


[2]
Density functional theory data (PBEsol) for Sb2Au3F18 after structural relaxation.

Values from the calculation:
- Formation energy from raw total energies: -1627 meV per atom
- Size of the total moment: 1.86 Bohr magnetons per cell
- DOS(E_F): 2.95 states/eV/cell

Lattice parameters (Å, degrees): 9.3893 8.5031 10.2988 90.00 122.94 90.00
Space group P2_1/c (No. 14)
Symmetry-distinct sites (fractional):
Sb 0.1399 0.1245 0.3589
Au 0.3440 0.6665 0.7169
Au 0.5000 0.0000 0.0000
F 0.0026 0.5985 0.3570
F 0.0038 0.7361 0.6219
F 0.0525 0.5578 0.8942
F 0.2589 0.2121 0.8302
F 0.3108 0.5221 0.8515
F 0.3142 0.1342 0.5729
F 0.3234 0.6490 0.3216
F 0.3607 0.0133 0.1059
F 0.3970 0.7032 0.1000


[3]
Density functional theory data (PBEsol) for ScAuF2 after structural relaxation.

Values from the calculation:
- Formation energy from raw total energies: -1636 meV per atom
- Size of the total moment: 0.00 Bohr magnetons per cell

Lattice parameters (Å, degrees): 6.0055 6.0055 6.0055 90.00 90.00 90.00
Space group Fm-3m (No. 225)
Symmetry-distinct sites (fractional):
Sc 0.0000 0.0000 0.0000
Au 0.0000 0.0000 0.5000
F 0.2500 0.2500 0.2500


[4]
Density functional theory data (PBEsol) for ScAuF3 after structural relaxation.

Values from the calculation:
- Formation energy from raw total energies: -954 meV per atom
- Size of the total moment: 1.19 Bohr magnetons per cell
- DOS(E_F): 5.22 states/eV/cell

Lattice parameters (Å, degrees): 4.4164 4.4164 4.4164 90.00 90.00 90.00
Space group Pm-3m (No. 221)
Symmetry-distinct sites (fractional):
Sc 0.0000 0.0000 0.0000
Au 0.5000 0.5000 0.5000
F 0.0000 0.5000 0.5000


[5]
Density functional theory data (PBEsol) for Si3AuF after structural relaxation.

Values from the calculation:
- Energy above the most stable polymorph in this dataset: 0 meV per atom
- Formation energy from raw total energies: 346 meV per atom
- Size of the total moment: 0.00 Bohr magnetons per cell
- DOS(E_F): 1.58 states/eV/cell

Lattice parameters (Å, degrees): 4.3173 4.3173 4.3173 90.00 90.00 90.00
Space group Pm-3m (No. 221)
Symmetry-distinct sites (fractional):
Si 0.0000 0.0000 0.5000
Au 0.5000 0.5000 0.5000
F 0.0000 0.0000 0.0000


[6]
Density functional theory data (PBEsol) for Si3AuF after structural relaxation.

Values from the calculation:
- Energy above the most stable polymorph in this dataset: 406 meV per atom
- Formation energy from raw total energies: 753 meV per atom
- Size of the total moment: 0.00 Bohr magnetons per cell
- DOS(E_F): 4.81 states/eV/cell

Lattice parameters (Å, degrees): 4.8150 4.8150 4.8150 90.00 90.00 90.00
Space group Pm-3m (No. 221)
Symmetry-distinct sites (fractional):
Si 0.0000 0.0000 0.5000
Au 0.0000 0.0000 0.0000
F 0.5000 0.5000 0.5000